1.
First-principles (GGA-PBE) data for an optimized crystal structure of Ce2SnS5, as listed in Alexandria.

As for the raw formation energy: -1368 meV/atom.

The space group is Cmcm (No. 63) and the conventional cell measures 5.3894, 13.3439 and 13.4789 Å, with angles of 90.00, 90.00 and 90.00 degrees. The asymmetric unit holds Ce at (0.0000, 0.1431, 0.0624), Sn at (0.0000, 0.1966, 0.7500), S at (0.0000, 0.0495, 0.6138), S at (0.0000, 0.2399, 0.2500) and S at (0.0000, 0.3110, 0.5632).

=====

2.
First-principles (GGA-PBE) data for an optimized crystal structure of RbMg2Al2, as listed in Alexandria.

The calculation puts the formation energy at 192 meV/atom.

The space group is I4/mmm (No. 139) and the conventional cell measures 5.0392, 5.0392 and 11.3527 Å, with angles of 90.00, 90.00 and 90.00 degrees. The asymmetric unit holds Rb at (0.0000, 0.0000, 0.0000), Mg at (0.0000, 0.5000, 0.2500) and Al at (0.0000, 0.0000, 0.3844).

=====

ΔE to the lowest computed polymorph per entry: 0.059; 0.039 eV/atom